No. 1
# HfCr2CCl GGA-PBE relaxed
# SG: P4/mmm
# Energy relative to the elements, uncorrected in eV/atom: 1.530
# Crystal system: tetragonal
data_HfCr2CCl
_space_group_name_H-M_alt 'P 1'
_space_group_IT_number 1
_cell_length_a 3.9856
_cell_length_b 3.9856
_cell_length_c 4.7222
_cell_angle_alpha 90.00
_cell_angle_beta 90.00
_cell_angle_gamma 90.00
loop_
_space_group_symop_operation_xyz
'x,y,z'
loop_
_atom_site_label
_atom_site_fract_x
_atom_site_fract_y
_atom_site_fract_z
_atom_site_occupancy
Hf1 0.0000 0.0000 0.0000 1
Cr1 0.0000 0.5000 0.5000 1
Cr2 0.5000 0.0000 0.5000 1
C1 0.5000 0.5000 0.0000 1
Cl1 0.5000 0.5000 0.5000 1

No. 2
# LaCr2CCl GGA-PBE relaxed
# SG: P4/mmm
# Energy relative to the elements, uncorrected in eV/atom: 0.009
# Crystal system: tetragonal
data_LaCr2CCl
_space_group_name_H-M_alt 'P 1'
_space_group_IT_number 1
_cell_length_a 3.9815
_cell_length_b 3.9815
_cell_length_c 6.2516
_cell_angle_alpha 90.00
_cell_angle_beta 90.00
_cell_angle_gamma 90.00
loop_
_space_group_symop_operation_xyz
'x,y,z'
loop_
_atom_site_label
_atom_site_fract_x
_atom_site_fract_y
_atom_site_fract_z
_atom_site_occupancy
La1 0.0000 0.0000 0.0000 1
Cr1 0.0000 0.5000 0.5000 1
Cr2 0.5000 0.0000 0.5000 1
C1 0.5000 0.5000 0.5000 1
Cl1 0.5000 0.5000 0.0000 1

No. 3
# NbCrCCl2 GGA-PBE relaxed
# SG: P4/mmm
# Energy relative to the elements, uncorrected in eV/atom: 1.670
# Crystal system: tetragonal
data_NbCrCCl2
_space_group_name_H-M_alt 'P 1'
_space_group_IT_number 1
_cell_length_a 4.3633
_cell_length_b 4.3633
_cell_length_c 4.3282
_cell_angle_alpha 90.00
_cell_angle_beta 90.00
_cell_angle_gamma 90.00
loop_
_space_group_symop_operation_xyz
'x,y,z'
loop_
_atom_site_label
_atom_site_fract_x
_atom_site_fract_y
_atom_site_fract_z
_atom_site_occupancy
Nb1 0.0000 0.0000 0.0000 1
Cr1 0.5000 0.5000 0.0000 1
C1 0.0000 0.0000 0.5000 1
Cl1 0.0000 0.5000 0.5000 1
Cl2 0.5000 0.0000 0.5000 1

No. 4
# Rb2CrCCl6 GGA-PBE relaxed
# SG: I4/mmm
# Energy relative to the elements, uncorrected in eV/atom: -0.676
# Crystal system: tetragonal
data_Rb2CrCCl6
_space_group_name_H-M_alt 'P 1'
_space_group_IT_number 1
_cell_length_a 7.3325
_cell_length_b 7.3325
_cell_length_c 7.3325
_cell_angle_alpha 125.33
_cell_angle_beta 125.33
_cell_angle_gamma 80.98
loop_
_space_group_symop_operation_xyz
'x,y,z'
loop_
_atom_site_label
_atom_site_fract_x
_atom_site_fract_y
_atom_site_fract_z
_atom_site_occupancy
Rb1 0.2500 0.7500 0.5000 1
Rb2 0.7500 0.2500 0.5000 1
Cr1 0.0000 0.0000 0.0000 1
C1 0.5000 0.5000 0.0000 1
Cl1 0.2100 0.2100 0.0000 1
Cl2 0.2549 0.2549 0.5098 1
Cl3 0.2549 0.7451 0.0000 1
Cl4 0.7451 0.2549 0.0000 1
Cl5 0.7451 0.7451 0.4902 1
Cl6 0.7900 0.7900 0.0000 1

No. 5
# CrCS2Cl GGA-PBE relaxed
# SG: P4/mmm
# Energy relative to the elements, uncorrected in eV/atom: 1.278
# Crystal system: tetragonal
data_CrCS2Cl
_space_group_name_H-M_alt 'P 1'
_space_group_IT_number 1
_cell_length_a 4.5290
_cell_length_b 4.5290
_cell_length_c 4.6840
_cell_angle_alpha 90.00
_cell_angle_beta 90.00
_cell_angle_gamma 90.00
loop_
_space_group_symop_operation_xyz
'x,y,z'
loop_
_atom_site_label
_atom_site_fract_x
_atom_site_fract_y
_atom_site_fract_z
_atom_site_occupancy
Cr1 0.0000 0.0000 0.0000 1
C1 0.5000 0.5000 0.5000 1
S1 0.0000 0.5000 0.0000 1
S2 0.5000 0.0000 0.0000 1
Cl1 0.0000 0.0000 0.5000 1

No. 6
# CrCS2Cl GGA-PBE relaxed
# SG: P4/mmm
# Energy relative to the elements, uncorrected in eV/atom: 1.456
# Crystal system: tetragonal
data_CrCS2Cl
_space_group_name_H-M_alt 'P 1'
_space_group_IT_number 1
_cell_length_a 4.0721
_cell_length_b 4.0721
_cell_length_c 4.2933
_cell_angle_alpha 90.00
_cell_angle_beta 90.00
_cell_angle_gamma 90.00
loop_
_space_group_symop_operation_xyz
'x,y,z'
loop_
_atom_site_label
_atom_site_fract_x
_atom_site_fract_y
_atom_site_fract_z
_atom_site_occupancy
Cr1 0.0000 0.0000 0.0000 1
C1 0.5000 0.5000 0.5000 1
S1 0.0000 0.5000 0.5000 1
S2 0.5000 0.0000 0.5000 1
Cl1 0.5000 0.5000 0.0000 1

| no. | calculated total energy (eV per atom) |
| --- | --- |
| 1 | -6.524 |
| 2 | -7.040 |
| 3 | -4.852 |
| 4 | -3.862 |
| 5 | -4.511 |
| 6 | -4.333 |